Computed, not measured: a geometry-optimized Pr2CoCN2O4 structure at the PBE+U level of DFT.

```
data_Pr2CoCN2O4
_space_group_name_H-M_alt 'P -1'
_space_group_IT_number 2
_cell_length_a 6.522
_cell_length_b 6.712
_cell_length_c 6.864
_cell_angle_alpha 83.49
_cell_angle_beta 70.99
_cell_angle_gamma 73.45
loop_
_space_group_symop_operation_xyz
'x,y,z'
'-x,-y,-z'
loop_
_atom_site_label
_atom_site_fract_x
_atom_site_fract_y
_atom_site_fract_z
Pr1 0.038 0.181 0.220
Pr2 0.432 0.257 0.662
Co1 0.459 0.786 0.821
C1 0.071 0.679 0.303
N1 0.015 0.432 0.759
N2 0.148 0.797 0.368
O1 0.211 0.998 0.887
O2 0.341 0.112 0.389
O3 0.371 0.626 0.686
O4 0.383 0.287 0.009
```

Summary:
magnetization = 5.0 μB per formula unit
E_tot = -153.05 eV/cell
calculated volume = 13.61 Å³/atom